Density functional theory data (GGA-PBE) for an optimized crystal structure of TbNp5As6.

Output
SG ... No. 12
Energy of formation from the pure elements ... -0.83 eV/atom
Magnetic moment ... 19.3 μB per cell

extended XYZ file:
```
12
Lattice="7.043 0.170 1.069 1.729 5.965 3.478 0.118 0.062 7.120" Properties=species:S:1:pos:R:3 pbc="T T T"
Np 0.615 2.008 3.535
Np 4.386 3.068 2.273
Np 1.232 4.019 7.063
Np 5.004 5.084 5.793
Np 3.887 1.113 5.874
As 3.430 5.550 8.185
As 2.810 3.527 4.678
As 2.201 1.548 1.145
As 6.571 4.587 3.401
As 5.461 0.647 3.482
As 6.080 2.670 6.989
Tb 0.000 0.000 0.000
```